Run one
Density functional theory data (GGA-PBE) for a relaxed structure of ScRh4.

* total moment: 0.00 Bohr magnetons per cell
* calculated volume: 15.1 Å³ per atom

Cell lengths 6.180, 6.180, 3.949 Å; angles 90.00, 90.00, 90.00 degrees
Space group I4/m (No. 87)
Symmetry-distinct sites (fractional):
Sc: 0.000 0.000 0.000
Rh: 0.100 0.693 0.500

Run two
Density functional theory data (GGA-PBE) for a relaxed structure of ScRh4.

* total moment: 2.90 Bohr magnetons per cell
* calculated volume: 19.0 Å³ per atom

Cell lengths 4.565, 4.565, 4.565 Å; angles 90.00, 90.00, 90.00 degrees
Space group Pm-3m (No. 221)
Symmetry-distinct sites (fractional):
Sc: 0.000 0.000 0.000
Rh: 0.000 0.000 0.500
Rh: 0.500 0.500 0.500

Run three
Density functional theory data (GGA-PBE) for a relaxed structure of ScRh4.

* total moment: 0.00 Bohr magnetons per cell
* calculated volume: 17.8 Å³ per atom

Cell lengths 5.263, 7.668, 8.798 Å; angles 90.00, 90.00, 90.00 degrees
Space group Fmmm (No. 69)
Symmetry-distinct sites (fractional):
Sc: 0.000 0.000 0.000
Rh: 0.000 0.000 0.365
Rh: 0.250 0.250 0.250

Relative to the most stable one, in kJ/mol of atoms, the structures come out at run one 0.0; run two 145.1; run three 33.9.